## Na2EuIn (PBE-GGA)

Data for Na2EuIn after structural relaxation.

Results
M_tot in μB/f.u.: 7.87
Volume in Å³/cell: 417.0
ΔH_f (0 K) in eV per atom: 0.1110
Distance to the lowest polymorph of the same formula in meV/atom: 180

CIF file:
```
data_Na2EuIn
_space_group_name_H-M_alt 'R -3 m'
_space_group_IT_number 166
_space_group_name_Hall '-R 3 2"'
_cell_length_a 3.5667
_cell_length_b 3.5667
_cell_length_c 37.8509
_cell_angle_alpha 90.00
_cell_angle_beta 90.00
_cell_angle_gamma 120.00
loop_
_atom_site_label
_atom_site_type_symbol
_atom_site_fract_x
_atom_site_fract_y
_atom_site_fract_z
Na1 Na 0.0000 0.0000 0.0946
Eu1 Eu 0.0000 0.0000 0.0000
In1 In 0.0000 0.0000 0.5000
```

## Na2EuIn (PBE-GGA)

Data for Na2EuIn after structural relaxation.

Results
M_tot in μB/f.u.: 7.42
Volume in Å³/cell: 483.0
ΔH_f (0 K) in eV per atom: -0.0398
Distance to the lowest polymorph of the same formula in meV/atom: 29

CIF file:
```
data_Na2EuIn
_space_group_name_H-M_alt 'F m -3 m'
_space_group_IT_number 225
_space_group_name_Hall '-F 4 2 3'
_cell_length_a 7.846
_cell_length_b 7.846
_cell_length_c 7.846
_cell_angle_alpha 90.00
_cell_angle_beta 90.00
_cell_angle_gamma 90.00
loop_
_atom_site_label
_atom_site_type_symbol
_atom_site_fract_x
_atom_site_fract_y
_atom_site_fract_z
Na1 Na 0.250 0.250 0.250
Eu1 Eu 0.000 0.000 0.000
In1 In 0.000 0.000 0.500
```

## NaEuIn (PBE-GGA)

Data for NaEuIn after structural relaxation.

Results
M_tot in μB/f.u.: 7.37
Volume in Å³/cell: 92.1
ΔH_f (0 K) in eV per atom: -0.1603

CIF file:
```
data_NaEuIn
_space_group_name_H-M_alt 'P -6 m 2'
_space_group_IT_number 187
_space_group_name_Hall 'P -6 2'
_cell_length_a 5.5197
_cell_length_b 5.5197
_cell_length_c 3.4905
_cell_angle_alpha 90.00
_cell_angle_beta 90.00
_cell_angle_gamma 120.00
loop_
_atom_site_label
_atom_site_type_symbol
_atom_site_fract_x
_atom_site_fract_y
_atom_site_fract_z
Na1 Na 0.0000 0.0000 0.0000
Eu1 Eu 0.6667 0.3333 0.5000
In1 In 0.3333 0.6667 0.0000
```

| no. | DFT total energy (eV/atom) |
| --- | --- |
| 1 | -3.802 |
| 2 | -3.953 |
| 3 | -4.938 |